Here is a relaxed structure of BaSmMn4O12 from Alexandria. Energies are from PBE with a Hubbard U.

Cell and atoms, written as extended XYZ:
```
18
Lattice="5.4133 0.0000 0.0000 0.0000 5.4133 0.0000 0.0000 0.0000 7.6369" Properties=species:S:1:pos:R:3 pbc="T T T"
Ba 2.7067 2.7067 0.0000
Sm 0.0000 0.0000 3.8184
Mn 0.0000 2.7067 5.7309
Mn 0.0000 2.7067 1.9060
Mn 2.7067 0.0000 5.7309
Mn 2.7067 0.0000 1.9060
O 1.2969 1.2969 5.5878
O 1.2969 1.2969 2.0490
O 4.1164 4.1164 5.5878
O 4.1164 4.1164 2.0490
O 4.1164 1.2969 5.5878
O 4.1164 1.2969 2.0490
O 1.2969 4.1164 5.5878
O 1.2969 4.1164 2.0490
O 0.0000 2.7067 3.8184
O 0.0000 2.7067 0.0000
O 2.7067 0.0000 3.8184
O 2.7067 0.0000 0.0000
```

Results
As for the volume: 224 Å³/cell. The space-group type is No. 123. The density is 5.19 g/cm³. As for the uncorrected energy: -6.760 eV/atom.